DFT (PBE) results for SrMg2Hg after structural relaxation.

It has space group P4mm (No. 99), with a = 3.901 Å, b = 3.901 Å, c = 7.412 Å, α = 90.00°, β = 90.00° and γ = 90.00°. Symmetry generates all atoms from Sr at (0.000, 0.000, 0.000), Mg at (0.000, 0.000, 0.475), Mg at (0.500, 0.500, 0.683) and Hg at (0.500, 0.500, 0.278).

=====

DFT (PBE) results for TcHg after structural relaxation.

It has space group P4/mmm (No. 123), with a = 2.874 Å, b = 2.874 Å, c = 4.287 Å, α = 90.00°, β = 90.00° and γ = 90.00°. Symmetry generates all atoms from Tc at (0.000, 0.000, 0.000) and Hg at (0.500, 0.500, 0.500).

=====

DFT (PBE) results for CaGaSe2Br after structural relaxation.

It has space group P4/mmm (No. 123), with a = 5.028 Å, b = 5.028 Å, c = 5.267 Å, α = 90.00°, β = 90.00° and γ = 90.00°. Symmetry generates all atoms from Ca at (0.000, 0.000, 0.000), Ga at (0.500, 0.500, 0.500), Se at (0.000, 0.500, 0.500) and Br at (0.500, 0.500, 0.000).

As for the formation energy from raw total energies: -0.773 eV/atom.

=====

DFT (PBE) results for SbPbSe2 after structural relaxation.

It has space group C2/m (No. 12), with a = 7.380 Å, b = 7.394 Å, c = 3.695 Å, α = 90.00°, β = 90.24° and γ = 90.00°. Symmetry generates all atoms from Sb at (0.000, 0.000, 0.000), Pb at (0.000, 0.500, 0.000) and Se at (0.250, 0.250, 0.500).

As for the formation energy from raw total energies: -0.116 eV/atom.

=====

DFT (PBE) results for Y6Br7 after structural relaxation.

It has space group R-3m (No. 166, hexagonal axes), with a = 6.5146 Å, b = 6.5146 Å, c = 30.9498 Å, α = 90.00°, β = 90.00° and γ = 120.00°. Symmetry generates all atoms from Y at (0.0000, 0.0000, 0.0540), Y at (0.0000, 0.0000, 0.1843), Y at (0.0000, 0.0000, 0.3330), Br at (0.0000, 0.0000, 0.5000) and Br at (0.0014, 0.5007, 0.9286).

As for the formation energy from raw total energies: -0.880 eV/atom.

=====

DFT (PBE) results for NaNdMg2Sn2 after structural relaxation.

It has space group P-3m1 (No. 164), with a = 4.9017 Å, b = 4.9017 Å, c = 7.4281 Å, α = 90.00°, β = 90.00° and γ = 120.00°. Symmetry generates all atoms from Na at (0.0000, 0.0000, 0.0000), Nd at (0.0000, 0.0000, 0.5000), Mg at (0.3333, 0.6667, 0.8205) and Sn at (0.3333, 0.6667, 0.2596).

=====

DFT (PBE) results for NaS after structural relaxation.

It has space group I-43m (No. 217), with a = 8.595 Å, b = 8.595 Å, c = 8.595 Å, α = 90.00°, β = 90.00° and γ = 90.00°. Symmetry generates all atoms from Na at (0.180, 0.180, 0.180) and S at (0.136, 0.136, 0.864).

As for the formation energy from raw total energies: -0.176 eV/atom.

=====

DFT (PBE) results for LuNiAgRh after structural relaxation.

It has space group F-43m (No. 216), with a = 6.434 Å, b = 6.434 Å, c = 6.434 Å, α = 90.00°, β = 90.00° and γ = 90.00°. Symmetry generates all atoms from Lu at (0.000, 0.000, 0.000), Ni at (0.250, 0.250, 0.750), Ag at (0.000, 0.000, 0.500) and Rh at (0.250, 0.250, 0.250).

=====

Number 1: E_tot -1.487 eV per atom. Number 2: E_tot -4.532 eV per atom. Number 3: E_tot -3.507 eV per atom. Number 4: E_tot -3.816 eV per atom. Number 5: E_tot -4.765 eV per atom. Number 6: E_tot -3.295 eV per atom. Number 7: E_tot -2.899 eV per atom. Number 8: E_tot -5.447 eV per atom.